The following is a PBE calculation of a relaxed Er2MgB2Rh5 crystal, from the Alexandria database.

Properties
Its energy of formation from the pure elements is -800 meV/atom. As for the magnetic moment: 0.000 μB/atom. The space group is P4/mbm (127). Its crystal system is tetragonal.

The structure in POSCAR format:
```
Er2MgB2Rh5
1.0
-2.364 1.397 1.592
-5.163 0.457 -8.069
-3.781 -8.599 1.932
Er Mg B Rh
4 2 4 10
direct
0.000 0.676 0.176
0.000 0.324 0.824
0.000 0.176 0.324
0.000 0.824 0.676
0.000 0.000 0.000
0.000 0.500 0.500
0.000 0.123 0.623
0.000 0.877 0.377
0.000 0.623 0.877
0.000 0.377 0.123
0.500 0.223 0.070
0.500 0.777 0.930
0.500 0.070 0.777
0.500 0.723 0.430
0.500 0.930 0.223
0.500 0.277 0.570
0.500 0.570 0.723
0.500 0.430 0.277
0.500 0.500 0.000
0.500 0.000 0.500
```

***

The following is a PBE calculation of a relaxed CaTi5O7 crystal, from the Alexandria database.

Properties
For the uncorrected formation energy, the calculation gives -2.675 eV/atom. As for the magnetic moment: 0.000 μB/atom. The space group is Cmcm (63). Its crystal system is orthorhombic.

The structure in POSCAR format:
```
CaTi5O7
1.0
-2.448 2.359 -3.962
1.267 -4.552 2.221
-15.031 0.488 9.576
Ca Ti O
2 10 14
direct
0.198 0.802 0.250
0.802 0.198 0.750
0.698 0.302 0.073
0.546 0.454 0.645
0.000 0.000 0.000
0.000 0.000 0.500
0.454 0.546 0.355
0.302 0.698 0.927
0.302 0.698 0.573
0.698 0.302 0.427
0.454 0.546 0.145
0.546 0.454 0.855
0.346 0.654 0.458
0.654 0.346 0.542
0.654 0.346 0.958
0.346 0.654 0.042
0.814 0.186 0.332
0.186 0.814 0.668
0.186 0.814 0.832
0.814 0.186 0.168
0.086 0.914 0.383
0.914 0.086 0.617
0.914 0.086 0.883
0.086 0.914 0.117
0.519 0.481 0.250
0.481 0.519 0.750
```

***

The following is a PBE calculation of a relaxed Ce3Ga8Ir3 crystal, from the Alexandria database.

Properties
Its energy of formation from the pure elements is -642 meV/atom. As for the magnetic moment: 0.087 μB/atom. The space group is Immm (71). Its crystal system is orthorhombic.

The structure in POSCAR format:
```
Ce3Ga8Ir3
1.0
-1.351 2.976 2.742
3.291 -2.098 7.217
6.391 5.049 0.988
Ce Ga Ir
3 8 3
direct
0.500 0.500 0.500
0.828 0.172 0.172
0.172 0.828 0.828
0.625 0.096 0.655
0.375 0.904 0.345
0.625 0.655 0.096
0.375 0.345 0.904
0.832 0.797 0.539
0.168 0.203 0.461
0.832 0.539 0.797
0.168 0.461 0.203
0.500 0.000 0.000
0.000 0.787 0.213
0.000 0.213 0.787
```

***

The following is a PBE calculation of a relaxed BeNi2Se crystal, from the Alexandria database.

Properties
The value obtained for the energy above the most stable polymorph in this dataset is 59 meV per atom. For the uncorrected formation energy, the calculation gives 0.011 eV/atom. As for the magnetic moment: 0.000 μB/atom. The space group is Imm2 (44). Its crystal system is orthorhombic.

The structure in POSCAR format:
```
BeNi2Se
1.0
4.640 0.035 -0.028
2.054 4.161 0.028
-3.340 -2.109 2.435
Ni Se Be
2 1 1
direct
0.018 0.018 0.000
0.758 0.258 0.500
0.485 0.485 0.000
0.240 0.740 0.500
```

***

The following is a PBE calculation of a relaxed Pm7Mg3 crystal, from the Alexandria database.

Properties
Its energy of formation from the pure elements is 100 meV/atom. As for the magnetic moment: 0.000 μB/atom. The space group is P6_3mc (186). Its crystal system is hexagonal.

The structure in POSCAR format:
```
Pm7Mg3
1.0
6.822 0.000 0.000
0.000 10.440 0.000
0.000 -5.220 9.041
Pm Mg
14 6
direct
0.004 0.667 0.333
0.504 0.333 0.667
0.917 0.877 0.755
0.917 0.877 0.123
0.917 0.245 0.123
0.417 0.123 0.245
0.417 0.123 0.877
0.417 0.755 0.877
0.179 0.475 0.950
0.179 0.475 0.525
0.179 0.050 0.525
0.679 0.525 0.050
0.679 0.525 0.475
0.679 0.950 0.475
0.872 0.217 0.435
0.872 0.217 0.783
0.872 0.565 0.783
0.372 0.783 0.565
0.372 0.783 0.217
0.372 0.435 0.217
```

***

The following is a PBE calculation of a relaxed Ga3Cu3Te4Se2 crystal, from the Alexandria database.

Properties
For the uncorrected formation energy, the calculation gives -0.335 eV/atom. As for the magnetic moment: 0.000 μB/atom. The space group is C2 (5). Its crystal system is monoclinic.

The structure in POSCAR format:
```
Ga3Cu3Te4Se2
1.0
-2.992 17.141 -5.474
-6.754 16.924 -0.842
4.019 2.795 3.396
Ga Cu Te Se
6 6 8 4
direct
0.082 0.841 0.289
0.742 0.507 0.634
0.406 0.181 0.968
0.159 0.918 0.711
0.819 0.594 0.032
0.493 0.258 0.366
0.586 0.341 0.786
0.262 0.989 0.114
0.935 0.654 0.443
0.011 0.738 0.886
0.659 0.414 0.214
0.346 0.065 0.557
0.052 0.280 0.333
0.720 0.948 0.667
0.791 0.046 0.063
0.456 0.707 0.407
0.125 0.374 0.735
0.293 0.544 0.593
0.954 0.209 0.937
0.626 0.875 0.265
0.870 0.130 0.500
0.535 0.796 0.835
0.204 0.465 0.165
0.372 0.628 0.000
```

***

The following is a PBE calculation of a relaxed ZrMo2Se crystal, from the Alexandria database.

Properties
For the uncorrected formation energy, the calculation gives 0.193 eV/atom. As for the magnetic moment: 0.000 μB/atom. The space group is I-42d (122). Its crystal system is tetragonal.

The structure in POSCAR format:
```
ZrMo2Se
1.0
3.766 0.000 0.000
0.000 3.766 0.000
1.883 1.883 10.486
Mo Se Zr
4 2 2
direct
0.621 0.125 0.250
0.129 0.625 0.250
0.375 0.379 0.750
0.875 0.871 0.750
0.500 0.500 0.000
0.250 0.750 0.500
0.000 0.000 0.000
0.750 0.250 0.500
```

***

The following is a PBE calculation of a relaxed YReNi2 crystal, from the Alexandria database.

Properties
Its energy of formation from the pure elements is 219 meV/atom. The value obtained for the energy above the most stable polymorph in this dataset is 307 meV per atom. As for the magnetic moment: 0.552 μB/atom. The space group is Fm-3m (225). Its crystal system is cubic.

The structure in POSCAR format:
```
YReNi2
1.0
-3.246 -2.997 -0.691
-1.499 -2.495 3.395
-4.090 0.711 1.661
Y Re Ni
1 1 2
direct
0.000 0.000 0.000
0.500 0.500 0.500
0.250 0.250 0.250
0.750 0.750 0.750
```

***

The following is a PBE calculation of a relaxed LiSnB crystal, from the Alexandria database.

Properties
Its energy of formation from the pure elements is -90 meV/atom. The value obtained for the energy above the most stable polymorph in this dataset is 0 meV per atom. As for the magnetic moment: 0.000 μB/atom. The space group is C2 (5). Its crystal system is monoclinic.

The structure in POSCAR format:
```
LiSnB
1.0
-1.434 0.461 -2.762
2.640 -1.706 0.137
-6.045 -9.211 1.598
B Sn Li
2 2 2
direct
0.391 0.199 0.696
0.057 0.532 0.696
0.389 0.198 0.333
0.389 0.198 0.059
0.724 0.866 0.824
0.724 0.865 0.568
```

***

The following is a PBE calculation of a relaxed PmHo2PuBi4 crystal, from the Alexandria database.

Properties
Its energy of formation from the pure elements is -729 meV/atom. As for the magnetic moment: 0.645 μB/atom. The space group is P2/m (10). Its crystal system is monoclinic.

The structure in POSCAR format:
```
PmHo2PuBi4
1.0
4.515 0.000 0.000
0.000 7.809 -0.154
0.000 2.748 7.321
Pm Ho Pu Bi
1 2 1 4
direct
0.000 0.500 0.500
0.000 0.000 0.000
0.500 0.000 0.500
0.500 0.500 0.000
0.000 0.756 0.750
0.000 0.244 0.250
0.500 0.757 0.246
0.500 0.243 0.754
```

***

The following is a PBE calculation of a relaxed TaTl2BPb crystal, from the Alexandria database.

Properties
Its energy of formation from the pure elements is 912 meV/atom. As for the magnetic moment: 0.000 μB/atom. The space group is P4/mmm (123). Its crystal system is tetragonal.

The structure in POSCAR format:
```
TaTl2BPb
1.0
-4.389 -2.827 -1.834
2.001 -3.786 1.049
-2.247 0.212 5.052
Pb Tl B Ta
1 2 1 1
direct
0.500 0.500 0.500
0.000 0.000 0.500
0.500 0.000 0.000
0.000 0.500 0.000
0.000 0.000 0.000
```

***

The following is a PBE calculation of a relaxed K6Na2Cd crystal, from the Alexandria database.

Properties
Its energy of formation from the pure elements is 15 meV/atom. As for the magnetic moment: 0.000 μB/atom. The space group is R-3m (166). Its crystal system is trigonal.

The structure in POSCAR format:
```
K6Na2Cd
1.0
-2.919 -3.373 -5.053
0.083 -6.739 -0.044
-12.013 -3.549 4.813
K Na Cd
6 2 1
direct
0.575 0.575 0.275
0.810 0.810 0.569
0.692 0.692 0.924
0.190 0.190 0.431
0.425 0.425 0.725
0.308 0.308 0.076
0.918 0.918 0.247
0.082 0.082 0.753
0.000 0.000 0.000
```

***

The following is a PBE calculation of a relaxed InCuSnPd crystal, from the Alexandria database.

Properties
Its energy of formation from the pure elements is -96 meV/atom. As for the magnetic moment: 0.000 μB/atom. The space group is F-43m (216). Its crystal system is cubic.

The structure in POSCAR format:
```
InCuSnPd
1.0
4.730 0.000 0.000
2.365 4.096 0.000
2.365 1.365 3.862
Cu Sn Pd In
1 1 1 1
direct
0.500 0.500 0.500
0.250 0.250 0.250
0.000 0.000 0.000
0.750 0.750 0.750
```

***

The following is a PBE calculation of a relaxed Ce2Pb crystal, from the Alexandria database.

Properties
Its energy of formation from the pure elements is -310 meV/atom. As for the magnetic moment: 0.574 μB/atom. The space group is Cmmm (65). Its crystal system is orthorhombic.

The structure in POSCAR format:
```
Ce2Pb
1.0
4.613 0.000 -1.016
0.000 4.487 0.000
-0.545 0.000 8.508
Ce Pb
4 2
direct
0.000 0.000 0.000
0.500 0.500 0.000
0.815 0.500 0.629
0.185 0.500 0.371
0.649 0.000 0.298
0.351 0.000 0.702
```

***

The following is a PBE calculation of a relaxed KSn2SbCl8 crystal, from the Alexandria database.

Properties
For the uncorrected formation energy, the calculation gives -1.112 eV/atom. As for the magnetic moment: 0.000 μB/atom. The space group is P-1 (2). Its crystal system is triclinic.

The structure in POSCAR format:
```
KSn2SbCl8
1.0
6.881 0.082 -0.125
0.134 6.564 -0.049
-0.147 -0.041 8.828
K Sn Sb Cl
1 2 1 8
direct
0.000 0.000 0.500
0.516 0.510 0.750
0.484 0.490 0.250
0.000 0.000 0.000
0.145 0.754 0.219
0.694 0.754 0.965
0.813 0.211 0.214
0.855 0.246 0.781
0.306 0.246 0.035
0.187 0.789 0.786
0.646 0.712 0.529
0.354 0.288 0.471
```

***

The following is a PBE calculation of a relaxed Ca4IrRu crystal, from the Alexandria database.

Properties
Its energy of formation from the pure elements is 1033 meV/atom. As for the magnetic moment: 0.186 μB/atom. The space group is F-43m (216). Its crystal system is cubic.

The structure in POSCAR format:
```
Ca4IrRu
1.0
-1.359 3.108 4.785
-2.706 5.176 -0.535
-5.604 0.563 1.638
Ca Ir Ru
4 1 1
direct
0.874 0.375 0.375
0.375 0.375 0.874
0.375 0.874 0.375
0.375 0.375 0.375
0.750 0.750 0.750
0.000 0.000 0.000
```

***

The following is a PBE calculation of a relaxed Sr2AcS3 crystal, from the Alexandria database.

Properties
For the uncorrected formation energy, the calculation gives -2.074 eV/atom. As for the magnetic moment: 0.000 μB/atom. The space group is Immm (71). Its crystal system is orthorhombic.

The structure in POSCAR format:
```
Sr2AcS3
1.0
4.120 0.000 -1.167
-0.635 5.598 -2.240
-0.123 -0.327 7.422
Sr Ac S
2 1 3
direct
0.668 0.168 0.335
0.332 0.832 0.665
0.000 0.500 0.000
0.333 0.333 0.666
0.000 0.000 0.000
0.667 0.667 0.334
```

***

The following is a PBE calculation of a relaxed Ba8PbN2 crystal, from the Alexandria database.

Properties
For the uncorrected formation energy, the calculation gives -0.011 eV/atom. As for the magnetic moment: 0.000 μB/atom. The space group is P4/mmm (123). Its crystal system is tetragonal.

The structure in POSCAR format:
```
Ba8PbN2
1.0
7.355 0.000 0.000
0.000 7.355 0.000
0.000 0.000 7.925
Ba Pb N
8 1 2
direct
0.752 0.752 0.208
0.752 0.248 0.792
0.752 0.752 0.792
0.752 0.248 0.208
0.248 0.752 0.208
0.248 0.752 0.792
0.248 0.248 0.208
0.248 0.248 0.792
0.500 0.500 0.500
0.500 0.000 0.000
0.000 0.500 0.000
```

***

The following is a PBE calculation of a relaxed Nd5Er2Tl crystal, from the Alexandria database.

Properties
Its energy of formation from the pure elements is -2 meV/atom. As for the magnetic moment: 0.000 μB/atom. The space group is Immm (71). Its crystal system is orthorhombic.

The structure in POSCAR format:
```
Nd5Er2Tl
1.0
3.429 0.000 -0.681
-0.960 10.271 -4.831
-0.085 -2.306 8.543
Nd Er Tl
5 2 1
direct
0.000 0.500 0.000
0.631 0.398 0.262
0.369 0.602 0.738
0.631 0.864 0.262
0.369 0.136 0.738
0.270 0.770 0.540
0.730 0.230 0.460
0.000 0.000 0.000
```

***

The following is a PBE calculation of a relaxed Ce2Zn7Au crystal, from the Alexandria database.

Properties
Its energy of formation from the pure elements is -293 meV/atom. As for the magnetic moment: 0.192 μB/atom. The space group is P-4m2 (115). Its crystal system is tetragonal.

The structure in POSCAR format:
```
Ce2Zn7Au
1.0
-1.715 -3.273 -2.214
-1.696 -1.570 3.635
-8.633 5.608 -1.604
Ce Zn Au
2 7 1
direct
0.500 0.000 0.746
0.000 0.500 0.254
0.000 0.500 0.860
0.500 0.000 0.372
0.500 0.000 0.140
0.000 0.500 0.628
0.000 0.000 0.500
0.000 0.000 0.000
0.500 0.500 0.500
0.500 0.500 0.000
```

***

no.,E_tot (eV/atom),DOS at the Fermi energy (states/eV per atom)
1,-6.88,0.447
2,-8.54,0.398
3,-5.54,0.960
4,-4.68,0.586
5,-3.70,1.698
6,-3.74,0.044
7,-8.23,0.685
8,-7.40,1.625
9,-4.29,0.416
10,-6.20,2.191
11,-4.48,0.553
12,-1.11,0.701
13,-4.10,0.933
14,-5.50,3.082
15,-3.45,0.000
16,-3.32,1.269
17,-5.38,0.313
18,-3.26,0.616
19,-4.42,1.371
20,-2.70,1.547